No. 1
# CdCo2Bi | OQMD via LeMat-Bulk | PBE | relaxed
# Calculated total energy   -16.10 eV for the cell shown
# Size of the total moment   0.002 Bohr magnetons per cell
data_CdCo2Bi
_space_group_name_H-M_alt 'P 1'
_space_group_IT_number 1
_space_group_name_Hall 'P 1'
_cell_length_a 4.590
_cell_length_b 4.590
_cell_length_c 4.590
_cell_angle_alpha 60.00
_cell_angle_beta 60.00
_cell_angle_gamma 60.00
loop_
_atom_site_label
_atom_site_fract_x
_atom_site_fract_y
_atom_site_fract_z
Cd1 0.000 0.000 0.000
Co1 0.250 0.250 0.250
Co2 0.500 0.500 0.500
Bi1 0.750 0.750 0.750


No. 2
# Cd2CoBi | OQMD via LeMat-Bulk | PBE | relaxed
# Calculated total energy   -11.04 eV for the cell shown
# Size of the total moment   1.133 Bohr magnetons per cell
data_Cd2CoBi
_space_group_name_H-M_alt 'P 1'
_space_group_IT_number 1
_space_group_name_Hall 'P 1'
_cell_length_a 4.857
_cell_length_b 4.857
_cell_length_c 4.857
_cell_angle_alpha 60.00
_cell_angle_beta 60.00
_cell_angle_gamma 60.00
loop_
_atom_site_label
_atom_site_fract_x
_atom_site_fract_y
_atom_site_fract_z
Cd1 0.000 0.000 0.000
Cd2 0.250 0.250 0.250
Co1 0.750 0.750 0.750
Bi1 0.500 0.500 0.500